1.
This record from the Open Quantum Materials Database describes a relaxed structure of CoTcSbW. The functional is PBE.

a = 4.4350 Å, b = 4.4350 Å, c = 4.4350 Å
α = 60.00°, β = 60.00°, γ = 60.00°
Element x y z (fractional)
Co (0.0000, 0.0000, 0.0000)
Tc (0.5000, 0.5000, 0.5000)
Sb (0.7500, 0.7500, 0.7500)
W (0.2500, 0.2500, 0.2500)

## Properties
- E (eV per cell) = -33.3
- total moment (μB/f.u.) = 2.13
- ρ (g/cm³) = 12.45
- energy above the most stable polymorph in this dataset (eV per formula unit) = 0.000

=====

2.
This record from the Open Quantum Materials Database describes a relaxed structure of TcNiBAu. The functional is PBE.

a = 4.1100 Å, b = 4.1100 Å, c = 4.1100 Å
α = 60.00°, β = 60.00°, γ = 60.00°
Element x y z (fractional)
Tc (0.0000, 0.0000, 0.0000)
Ni (0.2500, 0.2500, 0.2500)
B (0.7500, 0.7500, 0.7500)
Au (0.5000, 0.5000, 0.5000)

## Properties
- E (eV per cell) = -23.7
- total moment (μB/f.u.) = 0.13
- ρ (g/cm³) = 12.33
- energy above the most stable polymorph in this dataset (eV per formula unit) = 0.000

=====

The lowest E belongs to which entry? CoTcSbW

=====

Among the records above, which one has the lowest ρ? TcNiBAu